1.
# HgOsAu2

Crystalline HgOsAu2 at its relaxed geometry (PBE, the Alexandria database).

Structure (CIF):
```
data_HgOsAu2
_chemical_formula_sum 'Hg2 Os2 Au4'
_symmetry_space_group_name_H-M 'P 1'
_symmetry_Int_Tables_number 1
_cell_length_a 3.9554
_cell_length_b 3.9554
_cell_length_c 10.3284
_cell_angle_alpha 78.96
_cell_angle_beta 78.96
_cell_angle_gamma 90.00
loop_
_symmetry_equiv_pos_as_xyz
'x,y,z'
loop_
_atom_site_label
_atom_site_type_symbol
_atom_site_fract_x
_atom_site_fract_y
_atom_site_fract_z
Os1 Os 0.5000 0.5000 0.0000
Os2 Os 0.2500 0.7500 0.5000
Au1 Au 0.6146 0.1250 0.2500
Au2 Au 0.1354 0.6250 0.2500
Au3 Au 0.3750 0.3854 0.7500
Au4 Au 0.8750 0.8646 0.7500
Hg1 Hg 0.0000 0.0000 0.0000
Hg2 Hg 0.7500 0.2500 0.5000
```

DOS(E_F)	4.93	states/eV/f.u.
volume	77.8	Å³/f.u.
ΔE_f	0.907	eV/atom


2.
# HgOs2Au

Crystalline HgOs2Au at its relaxed geometry (PBE, the Alexandria database).

Structure (CIF):
```
data_HgOs2Au
_chemical_formula_sum 'Hg2 Os4 Au2'
_symmetry_space_group_name_H-M 'P 1'
_symmetry_Int_Tables_number 1
_cell_length_a 7.5566
_cell_length_b 7.5566
_cell_length_c 5.9449
_cell_angle_alpha 50.54
_cell_angle_beta 50.54
_cell_angle_gamma 90.00
loop_
_symmetry_equiv_pos_as_xyz
'x,y,z'
loop_
_atom_site_label
_atom_site_type_symbol
_atom_site_fract_x
_atom_site_fract_y
_atom_site_fract_z
Os1 Os 0.6116 0.1250 0.2500
Os2 Os 0.1384 0.6250 0.2500
Os3 Os 0.3750 0.3884 0.7500
Os4 Os 0.8750 0.8616 0.7500
Au1 Au 0.5000 0.5000 0.0000
Au2 Au 0.2500 0.7500 0.5000
Hg1 Hg 0.0000 0.0000 0.0000
Hg2 Hg 0.7500 0.2500 0.5000
```

DOS(E_F)	7.15	states/eV/f.u.
volume	74.4	Å³/f.u.
ΔE_f	1.444	eV/atom


3.
# HgOs2Au

Crystalline HgOs2Au at its relaxed geometry (PBE, the Alexandria database).

Structure (CIF):
```
data_HgOs2Au
_chemical_formula_sum 'Hg1 Os2 Au1'
_symmetry_space_group_name_H-M 'P 1'
_symmetry_Int_Tables_number 1
_cell_length_a 2.8183
_cell_length_b 2.8183
_cell_length_c 10.1487
_cell_angle_alpha 90.00
_cell_angle_beta 90.00
_cell_angle_gamma 120.21
loop_
_symmetry_equiv_pos_as_xyz
'x,y,z'
loop_
_atom_site_label
_atom_site_type_symbol
_atom_site_fract_x
_atom_site_fract_y
_atom_site_fract_z
Au1 Au 0.0000 0.0000 0.4838
Hg1 Hg 0.5000 0.5000 0.7600
Os1 Os 0.0000 0.0000 0.0231
Os2 Os 0.5000 0.5000 0.2331
```

DOS(E_F)	3.90	states/eV/f.u.
volume	69.7	Å³/f.u.
ΔE_f	0.646	eV/atom